#A
## Tb3NbO7 (PBE-GGA)

Data for a relaxed Tb3NbO7 crystal.

Results
The total magnetization is 0.00 μB per formula unit. The space-group type is Pnma (62).

Geometry as CIF:
```
data_Tb3NbO7
_chemical_formula_sum 'Tb12 Nb4 O28'
_symmetry_space_group_name_H-M 'P 1'
_symmetry_Int_Tables_number 1
_cell_length_a 7.484
_cell_length_b 7.605
_cell_length_c 10.645
_cell_angle_alpha 90.00
_cell_angle_beta 90.00
_cell_angle_gamma 90.00
loop_
_symmetry_equiv_pos_as_xyz
'x,y,z'
loop_
_atom_site_label
_atom_site_fract_x
_atom_site_fract_y
_atom_site_fract_z
Tb1 0.016 0.798 0.250
Tb2 0.249 0.964 0.522
Tb3 0.249 0.964 0.978
Tb4 0.251 0.464 0.022
Tb5 0.251 0.464 0.478
Tb6 0.484 0.298 0.750
Tb7 0.516 0.702 0.250
Tb8 0.749 0.536 0.522
Tb9 0.749 0.536 0.978
Tb10 0.751 0.036 0.022
Tb11 0.751 0.036 0.478
Tb12 0.984 0.202 0.750
Nb1 0.995 0.747 0.750
Nb2 0.505 0.247 0.250
Nb3 0.495 0.753 0.750
Nb4 0.005 0.253 0.250
O1 0.038 0.045 0.125
O2 0.038 0.045 0.375
O3 0.044 0.593 0.609
O4 0.044 0.593 0.891
O5 0.249 0.341 0.250
O6 0.258 0.731 0.116
O7 0.258 0.731 0.384
O8 0.242 0.231 0.616
O9 0.242 0.231 0.884
O10 0.251 0.841 0.750
O11 0.456 0.093 0.109
O12 0.456 0.093 0.391
O13 0.462 0.545 0.625
O14 0.462 0.545 0.875
O15 0.538 0.455 0.125
O16 0.538 0.455 0.375
O17 0.544 0.907 0.609
O18 0.544 0.907 0.891
O19 0.749 0.159 0.250
O20 0.758 0.769 0.116
O21 0.758 0.769 0.384
O22 0.742 0.269 0.616
O23 0.742 0.269 0.884
O24 0.751 0.659 0.750
O25 0.956 0.407 0.109
O26 0.956 0.407 0.391
O27 0.962 0.955 0.625
O28 0.962 0.955 0.875
```


#B
## Tb3NbO7 (PBE-GGA)

Data for a relaxed Tb3NbO7 crystal.

Results
The total magnetization is 0.00 μB per formula unit. The space-group type is Cmcm (63).

Geometry as CIF:
```
data_Tb3NbO7
_chemical_formula_sum 'Tb6 Nb2 O14'
_symmetry_space_group_name_H-M 'P 1'
_symmetry_Int_Tables_number 1
_cell_length_a 6.489
_cell_length_b 6.489
_cell_length_c 7.561
_cell_angle_alpha 90.00
_cell_angle_beta 90.00
_cell_angle_gamma 110.61
loop_
_symmetry_equiv_pos_as_xyz
'x,y,z'
loop_
_atom_site_label
_atom_site_fract_x
_atom_site_fract_y
_atom_site_fract_z
Tb1 0.517 0.061 0.250
Tb2 0.939 0.483 0.750
Tb3 0.000 0.000 0.000
Tb4 0.000 0.000 0.500
Tb5 0.061 0.517 0.250
Tb6 0.483 0.939 0.750
Nb1 0.500 0.500 0.000
Nb2 0.500 0.500 0.500
O1 0.889 0.154 0.250
O2 0.846 0.111 0.750
O3 0.436 0.177 0.536
O4 0.823 0.564 0.036
O5 0.823 0.564 0.464
O6 0.436 0.177 0.964
O7 0.419 0.419 0.250
O8 0.581 0.581 0.750
O9 0.177 0.436 0.536
O10 0.564 0.823 0.036
O11 0.564 0.823 0.464
O12 0.177 0.436 0.964
O13 0.154 0.889 0.250
O14 0.111 0.846 0.750
```


#C
## Tb3NbO7 (PBE-GGA)

Data for a relaxed Tb3NbO7 crystal.

Results
The total magnetization is 0.00 μB per formula unit. The space-group type is C222_1 (20).

Geometry as CIF:
```
data_Tb3NbO7
_chemical_formula_sum 'Tb6 Nb2 O14'
_symmetry_space_group_name_H-M 'P 1'
_symmetry_Int_Tables_number 1
_cell_length_a 6.541
_cell_length_b 6.541
_cell_length_c 7.514
_cell_angle_alpha 90.00
_cell_angle_beta 90.00
_cell_angle_gamma 108.50
loop_
_symmetry_equiv_pos_as_xyz
'x,y,z'
loop_
_atom_site_label
_atom_site_fract_x
_atom_site_fract_y
_atom_site_fract_z
Tb1 0.463 0.000 0.261
Tb2 0.000 0.537 0.239
Tb3 0.459 0.459 0.000
Tb4 0.541 0.541 0.500
Tb5 0.537 0.000 0.761
Tb6 0.000 0.463 0.739
Nb1 0.002 0.002 0.500
Nb2 0.998 0.998 0.000
O1 0.929 0.071 0.750
O2 0.640 0.360 0.750
O3 0.304 0.046 0.549
O4 0.954 0.696 0.951
O5 0.629 0.371 0.250
O6 0.916 0.669 0.522
O7 0.331 0.084 0.978
O8 0.084 0.331 0.022
O9 0.669 0.916 0.478
O10 0.371 0.629 0.750
O11 0.696 0.954 0.049
O12 0.046 0.304 0.451
O13 0.360 0.640 0.250
O14 0.071 0.929 0.250
```


Which of them is least stable? Easy: #B.


#A
## NbTc3O (PBE-GGA)

Data for a relaxed NbTc3O crystal.

Results
The total magnetization is 6.03 μB per formula unit. The space-group type is Pm-3m (221).

Geometry as CIF:
```
data_NbTc3O
_chemical_formula_sum 'Nb1 Tc3 O1'
_symmetry_space_group_name_H-M 'P 1'
_symmetry_Int_Tables_number 1
_cell_length_a 4.771
_cell_length_b 4.771
_cell_length_c 4.771
_cell_angle_alpha 90.00
_cell_angle_beta 90.00
_cell_angle_gamma 90.00
loop_
_symmetry_equiv_pos_as_xyz
'x,y,z'
loop_
_atom_site_label
_atom_site_fract_x
_atom_site_fract_y
_atom_site_fract_z
Nb1 0.000 0.000 0.000
Tc1 0.000 0.500 0.000
Tc2 0.000 0.000 0.500
Tc3 0.500 0.000 0.000
O1 0.500 0.500 0.500
```


#B
## NbTc3O (PBE-GGA)

Data for a relaxed NbTc3O crystal.

Results
The total magnetization is 0.00 μB per formula unit. The space-group type is Pm-3m (221).

Geometry as CIF:
```
data_NbTc3O
_chemical_formula_sum 'Nb1 Tc3 O1'
_symmetry_space_group_name_H-M 'P 1'
_symmetry_Int_Tables_number 1
_cell_length_a 4.100
_cell_length_b 4.100
_cell_length_c 4.100
_cell_angle_alpha 90.00
_cell_angle_beta 90.00
_cell_angle_gamma 90.00
loop_
_symmetry_equiv_pos_as_xyz
'x,y,z'
loop_
_atom_site_label
_atom_site_fract_x
_atom_site_fract_y
_atom_site_fract_z
Nb1 0.500 0.500 0.500
Tc1 0.000 0.500 0.000
Tc2 0.000 0.000 0.500
Tc3 0.500 0.000 0.000
O1 0.000 0.000 0.000
```


Which of them is least stable? Easy: #A.


#A
## NbTeO6 (PBE-GGA)

Data for a relaxed NbTeO6 crystal.

Results
The total magnetization is 0.01 μB per formula unit. The space-group type is R-3 (148).

Geometry as CIF:
```
data_NbTeO6
_chemical_formula_sum 'Nb1 Te1 O6'
_symmetry_space_group_name_H-M 'P 1'
_symmetry_Int_Tables_number 1
_cell_length_a 5.504
_cell_length_b 5.504
_cell_length_c 5.505
_cell_angle_alpha 60.00
_cell_angle_beta 60.00
_cell_angle_gamma 60.00
loop_
_symmetry_equiv_pos_as_xyz
'x,y,z'
loop_
_atom_site_label
_atom_site_fract_x
_atom_site_fract_y
_atom_site_fract_z
Nb1 0.500 0.500 0.500
Te1 0.000 0.000 0.000
O1 0.243 0.248 0.754
O2 0.754 0.243 0.755
O3 0.752 0.246 0.246
O4 0.246 0.757 0.245
O5 0.757 0.752 0.246
O6 0.248 0.754 0.754
```


#B
## NbTeO6 (PBE-GGA)

Data for a relaxed NbTeO6 crystal.

Results
The total magnetization is 1.05 μB per formula unit. The space-group type is P-31c (163).

Geometry as CIF:
```
data_NbTeO6
_chemical_formula_sum 'Nb2 Te2 O12'
_symmetry_space_group_name_H-M 'P 1'
_symmetry_Int_Tables_number 1
_cell_length_a 5.158
_cell_length_b 5.158
_cell_length_c 9.190
_cell_angle_alpha 90.00
_cell_angle_beta 90.00
_cell_angle_gamma 120.00
loop_
_symmetry_equiv_pos_as_xyz
'x,y,z'
loop_
_atom_site_label
_atom_site_fract_x
_atom_site_fract_y
_atom_site_fract_z
Nb1 0.333 0.667 0.250
Nb2 0.667 0.333 0.750
Te1 0.000 0.000 0.500
Te2 0.000 0.000 0.000
O1 0.275 0.331 0.380
O2 0.725 0.669 0.620
O3 0.056 0.725 0.380
O4 0.275 0.944 0.120
O5 0.944 0.275 0.620
O6 0.725 0.056 0.880
O7 0.669 0.944 0.380
O8 0.056 0.331 0.120
O9 0.331 0.056 0.620
O10 0.944 0.669 0.880
O11 0.669 0.725 0.120
O12 0.331 0.275 0.880
```


Which of them is least stable? Easy: #B.


#A
## Ti2NbO6 (PBE-GGA)

Data for a relaxed Ti2NbO6 crystal.

Results
The total magnetization is 1.00 μB per formula unit. The space-group type is C2/m (12).

Geometry as CIF:
```
data_Ti2NbO6
_chemical_formula_sum 'Ti2 Nb1 O6'
_symmetry_space_group_name_H-M 'P 1'
_symmetry_Int_Tables_number 1
_cell_length_a 3.641
_cell_length_b 5.202
_cell_length_c 6.659
_cell_angle_alpha 67.03
_cell_angle_beta 74.13
_cell_angle_gamma 69.51
loop_
_symmetry_equiv_pos_as_xyz
'x,y,z'
loop_
_atom_site_label
_atom_site_fract_x
_atom_site_fract_y
_atom_site_fract_z
Ti1 0.185 0.764 0.867
Ti2 0.815 0.236 0.133
Nb1 0.000 0.500 0.500
O1 0.695 0.679 0.931
O2 0.305 0.321 0.069
O3 0.978 0.827 0.217
O4 0.359 0.679 0.604
O5 0.022 0.173 0.783
O6 0.641 0.321 0.396
```


#B
## Ti2NbO6 (PBE-GGA)

Data for a relaxed Ti2NbO6 crystal.

Results
The total magnetization is 0.85 μB per formula unit. The space-group type is P-31m (162).

Geometry as CIF:
```
data_Ti2NbO6
_chemical_formula_sum 'Ti2 Nb1 O6'
_symmetry_space_group_name_H-M 'P 1'
_symmetry_Int_Tables_number 1
_cell_length_a 4.507
_cell_length_b 5.037
_cell_length_c 5.037
_cell_angle_alpha 120.00
_cell_angle_beta 90.00
_cell_angle_gamma 90.00
loop_
_symmetry_equiv_pos_as_xyz
'x,y,z'
loop_
_atom_site_label
_atom_site_fract_x
_atom_site_fract_y
_atom_site_fract_z
Ti1 0.500 0.667 0.333
Ti2 0.500 0.333 0.667
Nb1 0.000 0.000 0.000
O1 0.739 0.667 0.667
O2 0.261 0.667 0.000
O3 0.261 0.000 0.667
O4 0.739 0.333 0.000
O5 0.261 0.333 0.333
O6 0.739 0.000 0.333
```


Which of them is least stable? Easy: #A.


#A
## Ti2Nb2O (PBE-GGA)

Data for a relaxed Ti2Nb2O crystal.

Results
The total magnetization is 0.49 μB per formula unit. The space-group type is P4/mbm (127).

Geometry as CIF:
```
data_Ti2Nb2O
_chemical_formula_sum 'Ti4 Nb4 O2'
_symmetry_space_group_name_H-M 'P 1'
_symmetry_Int_Tables_number 1
_cell_length_a 5.683
_cell_length_b 5.683
_cell_length_c 5.168
_cell_angle_alpha 90.00
_cell_angle_beta 90.00
_cell_angle_gamma 90.00
loop_
_symmetry_equiv_pos_as_xyz
'x,y,z'
loop_
_atom_site_label
_atom_site_fract_x
_atom_site_fract_y
_atom_site_fract_z
Nb1 0.334 0.834 0.000
Nb2 0.834 0.666 0.000
Nb3 0.666 0.166 0.000
Nb4 0.166 0.334 0.000
O1 0.000 0.000 0.000
O2 0.500 0.500 0.000
Ti1 0.152 0.652 0.500
Ti2 0.652 0.848 0.500
Ti3 0.848 0.348 0.500
Ti4 0.348 0.152 0.500
```


#B
## Ti2Nb2O (PBE-GGA)

Data for a relaxed Ti2Nb2O crystal.

Results
The total magnetization is 0.00 μB per formula unit. The space-group type is I4/mmm (139).

Geometry as CIF:
```
data_Ti2Nb2O
_chemical_formula_sum 'Ti2 Nb2 O1'
_symmetry_space_group_name_H-M 'P 1'
_symmetry_Int_Tables_number 1
_cell_length_a 3.247
_cell_length_b 3.247
_cell_length_c 7.935
_cell_angle_alpha 78.19
_cell_angle_beta 78.19
_cell_angle_gamma 90.00
loop_
_symmetry_equiv_pos_as_xyz
'x,y,z'
loop_
_atom_site_label
_atom_site_fract_x
_atom_site_fract_y
_atom_site_fract_z
Nb1 0.412 0.412 0.175
Nb2 0.588 0.588 0.825
O1 0.000 0.000 0.000
Ti1 0.750 0.250 0.500
Ti2 0.250 0.750 0.500
```


Which of them is least stable? Easy: #B.


#A
## Ti3NbO8 (PBE-GGA)

Data for a relaxed Ti3NbO8 crystal.

Results
The total magnetization is 0.00 μB per formula unit. The space-group type is C2/m (12).

Geometry as CIF:
```
data_Ti3NbO8
_chemical_formula_sum 'Ti6 Nb2 O16'
_symmetry_space_group_name_H-M 'P 1'
_symmetry_Int_Tables_number 1
_cell_length_a 9.907
_cell_length_b 9.907
_cell_length_c 4.722
_cell_angle_alpha 89.59
_cell_angle_beta 89.59
_cell_angle_gamma 35.24
loop_
_symmetry_equiv_pos_as_xyz
'x,y,z'
loop_
_atom_site_label
_atom_site_fract_x
_atom_site_fract_y
_atom_site_fract_z
Ti1 0.373 0.373 0.506
Ti2 0.627 0.627 0.494
Ti3 0.500 0.000 0.000
Ti4 0.258 0.742 0.000
Ti5 0.000 0.500 0.000
Ti6 0.742 0.258 0.000
Nb1 0.124 0.124 0.504
Nb2 0.876 0.876 0.496
O1 0.952 0.952 0.193
O2 0.451 0.451 0.195
O3 0.201 0.201 0.191
O4 0.702 0.702 0.197
O5 0.079 0.571 0.302
O6 0.822 0.329 0.301
O7 0.571 0.079 0.302
O8 0.329 0.822 0.301
O9 0.178 0.671 0.699
O10 0.429 0.921 0.698
O11 0.921 0.429 0.698
O12 0.671 0.178 0.699
O13 0.048 0.048 0.807
O14 0.549 0.549 0.805
O15 0.298 0.298 0.803
O16 0.799 0.799 0.809
```


#B
## Ti3NbO8 (PBE-GGA)

Data for a relaxed Ti3NbO8 crystal.

Results
The total magnetization is 0.00 μB per formula unit. The space-group type is P6_3mc (186).

Geometry as CIF:
```
data_Ti3NbO8
_chemical_formula_sum 'Ti6 Nb2 O16'
_symmetry_space_group_name_H-M 'P 1'
_symmetry_Int_Tables_number 1
_cell_length_a 5.976
_cell_length_b 5.976
_cell_length_c 9.412
_cell_angle_alpha 90.00
_cell_angle_beta 90.00
_cell_angle_gamma 120.00
loop_
_symmetry_equiv_pos_as_xyz
'x,y,z'
loop_
_atom_site_label
_atom_site_fract_x
_atom_site_fract_y
_atom_site_fract_z
Ti1 0.662 0.831 0.215
Ti2 0.338 0.169 0.715
Ti3 0.831 0.169 0.715
Ti4 0.169 0.831 0.215
Ti5 0.169 0.338 0.215
Ti6 0.831 0.662 0.715
Nb1 0.333 0.667 0.492
Nb2 0.667 0.333 0.992
O1 0.170 0.830 0.601
O2 0.043 0.522 0.336
O3 0.333 0.667 0.106
O4 0.000 0.000 0.308
O5 0.000 0.000 0.808
O6 0.170 0.340 0.601
O7 0.478 0.957 0.336
O8 0.478 0.522 0.336
O9 0.340 0.170 0.101
O10 0.660 0.830 0.601
O11 0.522 0.478 0.836
O12 0.522 0.043 0.836
O13 0.667 0.333 0.606
O14 0.830 0.660 0.101
O15 0.957 0.478 0.836
O16 0.830 0.170 0.101
```


Which of them is least stable? Easy: #B.